1.
{
  "formula": "Cs3Te4As",
  "functional": "PBE-GGA",
  "state": "relaxed",
  "raw_formation_energy_ev_per_atom": -0.6801,
  "magmom_total_mub_per_fu": 0.000,
  "cell": [[9.449, 0.000, 0.000], [0.000, 13.715, 0.000], [0.000, 0.000, 11.692]],
  "species": ["Cs", "Cs", "Cs", "Cs", "Cs", "Cs", "Cs", "Cs", "Cs", "Cs", "Cs", "Cs", "Te", "Te", "Te", "Te", "Te", "Te", "Te", "Te", "Te", "Te", "Te", "Te", "Te", "Te", "Te", "Te", "As", "As", "As", "As"],
  "fractional_positions": [[0.013, 0.047, 0.180], [0.013, 0.453, 0.180], [0.170, 0.750, 0.405], [0.330, 0.250, 0.905], [0.487, 0.547, 0.680], [0.487, 0.953, 0.680], [0.513, 0.047, 0.320], [0.513, 0.453, 0.320], [0.670, 0.750, 0.095], [0.830, 0.250, 0.595], [0.987, 0.547, 0.820], [0.987, 0.953, 0.820], [0.099, 0.750, 0.071], [0.130, 0.047, 0.525], [0.130, 0.453, 0.525], [0.220, 0.750, 0.725], [0.280, 0.250, 0.225], [0.370, 0.547, 0.025], [0.370, 0.953, 0.025], [0.401, 0.250, 0.571], [0.599, 0.750, 0.429], [0.630, 0.047, 0.975], [0.630, 0.453, 0.975], [0.720, 0.750, 0.775], [0.780, 0.250, 0.275], [0.870, 0.547, 0.475], [0.870, 0.953, 0.475], [0.901, 0.250, 0.929], [0.180, 0.250, 0.433], [0.320, 0.750, 0.933], [0.680, 0.250, 0.067], [0.820, 0.750, 0.567]]
}

---

2.
{
  "formula": "CsTe2As",
  "functional": "PBE-GGA",
  "state": "relaxed",
  "raw_formation_energy_ev_per_atom": -0.4422,
  "magmom_total_mub_per_fu": 0.000,
  "cell": [[7.617, 0.000, 0.000], [0.000, 7.560, 0.000], [-3.461, 0.000, 13.029]],
  "species": ["Cs", "Cs", "Cs", "Cs", "Te", "Te", "Te", "Te", "Te", "Te", "Te", "Te", "As", "As", "As", "As"],
  "fractional_positions": [[0.163, 0.245, 0.096], [0.163, 0.755, 0.596], [0.837, 0.245, 0.404], [0.837, 0.755, 0.904], [0.248, 0.274, 0.669], [0.248, 0.726, 0.169], [0.347, 0.360, 0.391], [0.347, 0.640, 0.891], [0.653, 0.360, 0.109], [0.653, 0.640, 0.609], [0.752, 0.274, 0.831], [0.752, 0.726, 0.331], [0.448, 0.307, 0.888], [0.448, 0.693, 0.388], [0.552, 0.307, 0.612], [0.552, 0.693, 0.112]]
}

---

3.
{
  "formula": "Cs3Te3As",
  "functional": "PBE-GGA",
  "state": "relaxed",
  "raw_formation_energy_ev_per_atom": -0.7606,
  "magmom_total_mub_per_fu": 0.000,
  "cell": [[5.107, -7.559, 0.000], [5.107, 7.559, 0.000], [-1.044, 0.000, 9.546]],
  "species": ["Cs", "Cs", "Cs", "Cs", "Cs", "Cs", "Te", "Te", "Te", "Te", "Te", "Te", "As", "As"],
  "fractional_positions": [[0.177, 0.823, 0.000], [0.222, 0.778, 0.500], [0.371, 0.371, 0.144], [0.629, 0.629, 0.856], [0.778, 0.222, 0.500], [0.823, 0.177, 0.000], [0.050, 0.050, 0.287], [0.166, 0.451, 0.787], [0.451, 0.166, 0.787], [0.549, 0.834, 0.213], [0.834, 0.549, 0.213], [0.950, 0.950, 0.713], [0.198, 0.198, 0.656], [0.802, 0.802, 0.344]]
}